## MnV2P2 (PBE)

Data for a geometry-optimized MnV2P2 structure. Values from VASP.

Quantum ESPRESSO input file:
```
&SYSTEM
  ibrav = 0, nat = 10, ntyp = 3
/
ATOMIC_SPECIES
Mn 54.94 Mn.upf
V 50.94 V.upf
P 30.97 P.upf
CELL_PARAMETERS angstrom
5.873 0.000 0.000
0.000 5.873 0.000
0.000 0.000 3.503
ATOMIC_POSITIONS angstrom
Mn 0.000 0.000 0.000
Mn 2.936 2.936 0.000
V 0.958 1.978 1.752
V 1.978 4.914 1.752
V 3.895 0.958 1.752
V 4.914 3.895 1.752
P 0.818 3.754 0.000
P 2.119 0.818 0.000
P 3.754 5.055 0.000
P 5.055 2.119 0.000
```

## Properties
DOS(E_F) in states/eV/atom: 0.719
Density in kg/m3: 6013
Formation enthalpy at 0 K in eV per atom: -0.60



## Mn2VP (PBE)

Data for a geometry-optimized Mn2VP structure. Values from VASP.

Quantum ESPRESSO input file:
```
&SYSTEM
  ibrav = 0, nat = 4, ntyp = 3
/
ATOMIC_SPECIES
Mn 54.94 Mn.upf
V 50.94 V.upf
P 30.97 P.upf
CELL_PARAMETERS angstrom
3.895 0.000 0.000
0.000 3.895 0.000
0.000 0.000 2.899
ATOMIC_POSITIONS angstrom
Mn 0.000 1.948 0.000
Mn 1.948 0.000 0.000
V 0.000 0.000 1.450
P 1.948 1.948 1.450
```

## Properties
DOS(E_F) in states/eV/atom: 0.364
E above lowest polymorph in eV per formula unit: 0.19
Density in kg/m3: 7240
Formation enthalpy at 0 K in eV per atom: -0.40



## Mn5V6P (PBE)

Data for a geometry-optimized Mn5V6P structure. Values from VASP.

Quantum ESPRESSO input file:
```
&SYSTEM
  ibrav = 0, nat = 12, ntyp = 3
/
ATOMIC_SPECIES
Mn 54.94 Mn.upf
V 50.94 V.upf
P 30.97 P.upf
CELL_PARAMETERS angstrom
-2.024 2.911 6.075
2.024 -2.911 6.075
2.024 2.911 -6.075
ATOMIC_POSITIONS angstrom
Mn 0.000 0.000 0.000
Mn 2.024 0.000 2.036
Mn 0.000 0.000 4.059
Mn 0.000 0.000 8.092
Mn 0.000 2.911 4.039
V 2.024 -1.470 4.039
V 2.024 1.422 0.000
V 0.000 1.441 2.037
V 2.024 1.470 4.039
V 0.000 1.489 6.075
V 0.000 4.381 2.037
P 0.000 2.911 0.000
```

## Properties
DOS(E_F) in states/eV/atom: 0.814
Density in kg/m3: 7090
Formation enthalpy at 0 K in eV per atom: -0.27